(1)
NaDyEr: optimized geometry, PBE.

Geometry as extended XYZ:
```
6
Lattice="3.500 0.000 0.000 1.745 5.867 0.000 1.732 1.473 9.532" Properties=species:S:1:pos:R:3 pbc="T T T"
Na 1.743 2.094 3.963
Na 5.235 5.245 5.570
Dy 3.478 5.751 8.867
Dy 3.499 1.588 0.665
Er 3.482 2.526 7.330
Er 3.495 4.813 2.202
```

Properties
The value obtained for the formation energy from the elements is 0.17 eV per atom. The total energy is -3.323 eV/atom. For the magnetic moment, the calculation gives 0.0 Bohr magnetons per cell. The calculation puts the density of states at the Fermi level at 1.21 states/eV/atom.

---

(2)
CoCuPS4: optimized geometry, PBE.

Geometry as extended XYZ:
```
14
Lattice="-3.437 3.882 4.620 3.437 -3.882 4.620 3.437 3.882 -4.620" Properties=species:S:1:pos:R:3 pbc="T T T"
Co -1.718 1.941 2.310
Co 1.718 1.941 2.310
Cu 0.000 0.000 0.000
Cu 0.000 3.882 0.000
P 3.437 1.941 -1.163
P 0.000 1.941 5.783
S 1.713 1.941 0.010
S 1.724 -1.941 4.630
S 0.000 0.491 2.196
S 3.437 0.491 2.424
S 0.000 3.391 2.196
S 3.437 3.391 2.424
S 1.713 5.823 -0.010
S 1.724 1.941 4.610
```

Properties
The calculation puts the uncorrected formation energy at -11.9 kJ/mol of atoms. The total energy is -4.855 eV/atom. For the magnetic moment, the calculation gives 0.0 Bohr magnetons per cell. The calculation puts the density of states at the Fermi level at 0.71 states/eV/atom.

---

(3)
PmGa6Cu12: optimized geometry, PBE.

Geometry as extended XYZ:
```
19
Lattice="5.390 3.112 2.837 -5.390 3.112 2.837 0.000 -6.224 2.837" Properties=species:S:1:pos:R:3 pbc="T T T"
Pm 0.000 0.000 0.000
Ga 0.000 -2.653 3.571
Ga -2.298 1.327 3.571
Ga -2.298 -1.327 4.938
Ga 2.298 1.326 3.571
Ga 2.298 -1.326 4.938
Ga 0.000 2.653 4.938
Cu -2.092 -3.624 4.255
Cu -4.185 0.000 4.255
Cu -1.354 -0.782 2.554
Cu 1.354 -0.782 2.554
Cu 0.000 1.564 2.554
Cu 2.092 -3.624 4.255
Cu -2.092 3.624 4.255
Cu 0.000 -1.564 5.955
Cu -1.354 0.782 5.955
Cu 1.354 0.782 5.955
Cu 4.185 0.000 4.255
Cu 2.092 3.624 4.255
```

Properties
The value obtained for the formation energy from the elements is -0.06 eV per atom. The total energy is -3.858 eV/atom. For the magnetic moment, the calculation gives 0.0 Bohr magnetons per cell. The calculation puts the density of states at the Fermi level at 0.19 states/eV/atom.